The following is a DFT calculation (PBE-GGA) of a relaxed CaPaN crystal.

Unit cell a=3.3108 b=6.3762 c=13.3996 alpha=90.00 beta=90.00 gamma=90.00
Closest atoms and distances in Å follow each position.
Space group Immm (No. 71)
Symmetry-distinct sites (fractional):
Ca  0.0000  0.2207  0.0000 [4 per cell]  4 N 2.54, 1 Ca 2.81
Pa  0.0000  0.5000  0.2565 [4 per cell]  1 N 1.94
N  0.0000  0.5000  0.4016 [4 per cell]  1 Pa 1.94

Values from the calculation:
Uncorrected formation energy: -339 meV per atom
Density: 6.69 g cm⁻³
E_tot: -6.946 eV per atom
V: 283 Å³/cell